1.
The following is a GGA-PBE calculation of a geometry-optimized Cu2ReW structure, from Alexandria.

Unit cell a=3.1710 b=3.1710 c=5.5899 alpha=90.00 beta=90.00 gamma=90.00
Last column: nearest neighbours and their distance in Å.
Atoms (fractional coordinates):
Cu: 0.0000 0.0000 0.0221  4 Cu 2.52, 1 Re 2.70, 4 W 2.72
Cu: 0.5000 0.5000 0.2277  4 Cu 2.52, 1 W 2.70, 4 Re 2.72
W: 0.5000 0.5000 0.7456  4 Re 2.62, 6 Cu 2.70-2.89
Re: 0.0000 0.0000 0.5046  4 W 2.62, 6 Cu 2.70-2.89

ρ, kg/m3: 14687
SG: P4mm
Energy relative to the elements, eV per formula unit: 1.091

2.
The following is a GGA-PBE calculation of a geometry-optimized Cu2ReW structure, from Alexandria.

Unit cell a=4.6679 b=4.6679 c=4.6679 alpha=131.80 beta=131.80 gamma=70.55
Last column: nearest neighbours and their distance in Å.
Atoms (fractional coordinates):
Cu: 0.0000 0.0000 0.0000  4 Cu 2.70, 4 W 2.70, 4 Re 2.70
Cu: 0.2500 0.7500 0.5000  4 Cu 2.70, 4 Re 2.70, 4 W 2.70
W: 0.7500 0.2500 0.5000  4 Re 2.70, 8 Cu 2.70
Re: 0.5000 0.5000 0.0000  4 W 2.70, 8 Cu 2.70

ρ, kg/m3: 14905
SG: I-4m2
Energy relative to the elements, eV per formula unit: 1.138

3.
The following is a GGA-PBE calculation of a geometry-optimized Cu2ReW structure, from Alexandria.

Unit cell a=4.3130 b=4.3130 c=4.3130 alpha=60.00 beta=60.00 gamma=60.00
Last column: nearest neighbours and their distance in Å.
Atoms (fractional coordinates):
Re: 0.5000 0.5000 0.5000  4 W 2.64, 4 Cu 2.64
W: 0.7500 0.7500 0.7500  4 Cu 2.64, 4 Re 2.64
Cu: 0.2500 0.2500 0.2500  4 Re 2.64, 4 Cu 2.64
Cu: 0.0000 0.0000 0.0000  4 Cu 2.64, 4 W 2.64

ρ, kg/m3: 14552
SG: F-43m
Energy relative to the elements, eV per formula unit: 1.544

4.
The following is a GGA-PBE calculation of a geometry-optimized Cu4ReW structure, from Alexandria.

Unit cell a=4.7562 b=4.7562 c=4.7562 alpha=60.00 beta=60.00 gamma=60.00
Last column: nearest neighbours and their distance in Å.
Atoms (fractional coordinates):
Cu: 0.3751 0.3751 0.3751  6 Cu 2.38
Cu: 0.3751 0.3751 0.8748  6 Cu 2.38
Cu: 0.8748 0.3751 0.3751  6 Cu 2.38
Cu: 0.3751 0.8748 0.3751  6 Cu 2.38
W: 0.0000 0.0000 0.0000  12 Cu 2.79, 4 Re 2.91
Re: 0.7500 0.7500 0.7500  12 Cu 2.79, 4 W 2.91

ρ, kg/m3: 13625
SG: F-43m
Energy relative to the elements, eV per formula unit: 1.325

5.
The following is a GGA-PBE calculation of a geometry-optimized Cu2ReW structure, from Alexandria.

Unit cell a=3.7082 b=3.7082 c=4.0259 alpha=90.00 beta=90.00 gamma=90.00
Last column: nearest neighbours and their distance in Å.
Atoms (fractional coordinates):
Cu: 0.5000 0.5000 0.0000  4 Cu 2.62, 4 W 2.74, 4 Re 2.74
Cu: 0.0000 0.0000 0.0000  4 Cu 2.62, 4 W 2.74, 4 Re 2.74
W: 0.0000 0.5000 0.5000  4 Re 2.62, 8 Cu 2.74
Re: 0.5000 0.0000 0.5000  4 W 2.62, 8 Cu 2.74

ρ, kg/m3: 14912
SG: P4/mmm
Energy relative to the elements, eV per formula unit: 1.248

6.
The following is a GGA-PBE calculation of a geometry-optimized Cu2ReW structure, from Alexandria.

Unit cell a=9.0897 b=9.0897 c=9.0897 alpha=17.09 beta=17.09 gamma=17.09
Last column: nearest neighbours and their distance in Å.
Atoms (fractional coordinates):
Re: 0.2500 0.2500 0.2500  6 Re 2.70, 6 Cu 2.70
Cu: 0.9989 0.9989 0.9989  6 Cu 2.70, 3 Re 2.70, 3 W 2.75
Cu: 0.5011 0.5011 0.5011  6 Cu 2.70, 3 Re 2.70, 3 W 2.75
W: 0.7500 0.7500 0.7500  6 W 2.70, 6 Cu 2.75

ρ, kg/m3: 14587
SG: R-3m
Energy relative to the elements, eV per formula unit: 1.559

7.
The following is a GGA-PBE calculation of a geometry-optimized Cu2ReW structure, from Alexandria.

Unit cell a=4.8289 b=4.8289 c=2.6112 alpha=89.86 beta=89.86 gamma=114.51
Last column: nearest neighbours and their distance in Å.
Atoms (fractional coordinates):
W: 0.0000 0.5000 0.5000  2 W 2.61, 2 Re 2.61, 8 Cu 2.74-2.75
Cu: 0.5000 0.5000 0.0000  4 Cu 2.61, 4 W 2.74-2.75, 4 Re 2.74-2.75
Cu: 0.0000 0.0000 0.0000  4 Cu 2.61, 4 Re 2.74-2.75, 4 W 2.74-2.75
Re: 0.5000 0.0000 0.5000  2 Re 2.61, 2 W 2.61, 8 Cu 2.74-2.75

ρ, kg/m3: 14900
SG: C2/m
Energy relative to the elements, eV per formula unit: 1.282

8.
The following is a GGA-PBE calculation of a geometry-optimized Cu2ReW structure, from Alexandria.

Unit cell a=4.6685 b=4.6685 c=4.8250 alpha=83.83 beta=83.83 gamma=32.43
Last column: nearest neighbours and their distance in Å.
Atoms (fractional coordinates):
Cu: 0.7502 0.7502 0.7652  5 Cu 2.59-2.70, 4 W 2.70-2.79, 3 Re 2.75
Cu: 0.0011 0.0011 0.9842  5 Cu 2.59-2.70, 4 Re 2.69-2.79, 3 W 2.73-2.77
W: 0.2532 0.2532 0.2536  3 Re 2.58-2.79, 2 W 2.61, 7 Cu 2.70-2.79
Re: 0.4955 0.4955 0.4970  3 W 2.58-2.79, 2 Re 2.61, 7 Cu 2.69-2.79

ρ, kg/m3: 14730
SG: Cm
Energy relative to the elements, eV per formula unit: 1.197

9.
The following is a GGA-PBE calculation of a geometry-optimized Cu2ReW structure, from Alexandria.

Unit cell a=3.6110 b=3.6110 c=9.7129 alpha=79.29 beta=79.29 gamma=90.00
Last column: nearest neighbours and their distance in Å.
Atoms (fractional coordinates):
Cu: 0.6303 0.1250 0.2500  4 Cu 2.53-2.58, 2 Re 2.66, 2 W 2.67
Cu: 0.8750 0.8803 0.7500  4 Cu 2.53-2.58, 2 Re 2.66, 2 W 2.67
Cu: 0.3750 0.3697 0.7500  4 Cu 2.53-2.58, 2 Re 2.66, 2 W 2.67
Cu: 0.1197 0.6250 0.2500  4 Cu 2.53-2.58, 2 Re 2.66, 2 W 2.67
W: 0.2500 0.7500 0.5000  4 Re 2.55, 4 Cu 2.67
W: 0.5000 0.5000 0.0000  4 Re 2.55, 4 Cu 2.67
Re: 0.0000 0.0000 0.0000  4 W 2.55, 4 Cu 2.66
Re: 0.7500 0.2500 0.5000  4 W 2.55, 4 Cu 2.66

ρ, kg/m3: 13512
SG: I-42d
Energy relative to the elements, eV per formula unit: 3.033

10.
The following is a GGA-PBE calculation of a geometry-optimized Cu2ReW structure, from Alexandria.

Unit cell a=3.2151 b=3.2151 c=5.3155 alpha=90.00 beta=90.00 gamma=90.00
Last column: nearest neighbours and their distance in Å.
Atoms (fractional coordinates):
Cu: 0.0000 0.0000 0.4961  2 Cu 2.62-2.70, 4 Re 2.62, 4 W 2.64
Cu: 0.0000 0.0000 0.0039  2 Cu 2.62-2.70, 4 Re 2.62, 4 W 2.64
Re: 0.5000 0.5000 0.2500  8 Cu 2.62, 2 W 2.66
W: 0.5000 0.5000 0.7500  8 Cu 2.64, 2 Re 2.66

ρ, kg/m3: 15024
SG: P4/mmm
Energy relative to the elements, eV per formula unit: 2.029

11.
The following is a GGA-PBE calculation of a geometry-optimized Cu2ReW structure, from Alexandria.

Unit cell a=2.6188 b=3.9863 c=5.3931 alpha=90.00 beta=90.00 gamma=90.00
Last column: nearest neighbours and their distance in Å.
Atoms (fractional coordinates):
Cu: 0.0000 0.0000 0.0157  2 Re 2.61-2.78, 6 Cu 2.62-2.66, 4 W 2.78
Cu: 0.5000 0.5000 0.2355  6 Cu 2.62-2.66, 2 W 2.62-2.77, 4 Re 2.78
W: 0.5000 0.5000 0.7491  2 W 2.62, 6 Cu 2.62-2.78, 4 Re 2.74
Re: 0.0000 0.0000 0.4997  6 Cu 2.61-2.78, 2 Re 2.62, 4 W 2.74

ρ, kg/m3: 14663
SG: Pmm2
Energy relative to the elements, eV per formula unit: 1.137

12.
The following is a GGA-PBE calculation of a geometry-optimized Cu2ReW structure, from Alexandria.

Unit cell a=2.6525 b=2.6525 c=8.4579 alpha=90.00 beta=90.00 gamma=107.75
Last column: nearest neighbours and their distance in Å.
Atoms (fractional coordinates):
W: 0.5000 0.5000 0.7559  4 W 2.65, 2 Cu 2.66, 2 Re 2.72
Cu: 0.0000 0.0000 0.0100  6 Cu 2.50-2.65, 2 W 2.66
Cu: 0.5000 0.5000 0.2410  6 Cu 2.50-2.65, 2 Re 2.64
Re: 0.0000 0.0000 0.4931  2 Cu 2.64, 4 Re 2.65, 2 W 2.72

ρ, kg/m3: 14567
SG: Cmm2
Energy relative to the elements, eV per formula unit: 0.975

13.
The following is a GGA-PBE calculation of a geometry-optimized Cu2ReW structure, from Alexandria.

Unit cell a=4.2056 b=2.6419 c=5.0860 alpha=80.67 beta=90.00 gamma=90.00
Last column: nearest neighbours and their distance in Å.
Atoms (fractional coordinates):
Cu: 0.0000 0.1695 0.0085  4 Cu 2.41-2.64, 1 Re 2.64
Cu: 0.5000 0.0815 0.2430  4 Cu 2.41-2.64, 1 W 2.63
W: 0.5000 0.7360 0.7573  2 Re 2.62, 7 Cu 2.63-2.80, 2 W 2.64
Re: 0.0000 0.5130 0.4912  2 W 2.62, 7 Cu 2.64-2.79, 2 Re 2.64

ρ, kg/m3: 14804
SG: Pm
Energy relative to the elements, eV per formula unit: 0.858

14.
The following is a GGA-PBE calculation of a geometry-optimized Cu2ReW structure, from Alexandria.

Unit cell a=4.7475 b=4.7475 c=4.7428 alpha=81.26 beta=81.26 gamma=32.33
Last column: nearest neighbours and their distance in Å.
Atoms (fractional coordinates):
Cu: 0.0012 0.0012 0.9985  6 Cu 2.64-2.72, 3 W 2.73-2.75, 3 Re 2.73-2.74
Cu: 0.4988 0.4988 0.5015  6 Cu 2.64-2.72, 3 W 2.73-2.75, 3 Re 2.73-2.74
Re: 0.7500 0.7500 0.7500  2 Re 2.64, 4 W 2.71, 6 Cu 2.73-2.74
W: 0.2500 0.2500 0.2500  2 W 2.64, 4 Re 2.71, 6 Cu 2.73-2.75

ρ, kg/m3: 14623
SG: C2/m
Energy relative to the elements, eV per formula unit: 1.337

15.
The following is a GGA-PBE calculation of a geometry-optimized CuRe3W structure, from Alexandria.

Unit cell a=4.7318 b=4.7318 c=4.7318 alpha=90.00 beta=90.00 gamma=90.00
Last column: nearest neighbours and their distance in Å.
Atoms (fractional coordinates):
Re: 0.0000 0.0000 0.5000  2 W 2.37
Re: 0.0000 0.5000 0.0000  2 W 2.37
Re: 0.5000 0.0000 0.0000  2 W 2.37
Cu: 0.5000 0.5000 0.5000  12 Re 3.35
W: 0.0000 0.0000 0.0000  6 Re 2.37

E above lowest polymorph, kJ per mole of atoms: 52.5
ρ, kg/m3: 12633
SG: Pm-3m
Energy relative to the elements, eV per formula unit: 12.359